(1)
Here is HoTm2Lu after structural relaxation from Alexandria. Energies are from PBE-GGA.

Cell: 3.4870 3.4870 34.0373 Å, 90.00 90.00 120.00°
Space group R-3m (No. 166, hexagonal axes)
One atom of each set of equivalent atoms:
Ho  0.0000  0.0000  0.0000 (multiplicity 3)
Tm  0.0000  0.0000  0.2494 (multiplicity 6)
Lu  0.0000  0.0000  0.5000 (multiplicity 3)

Calculated values
Its density is 9.42 Mg/m³. The calculation puts the energy above the most stable polymorph in this dataset at 0.01 eV/f.u. As for the magnetization: 0.000 μB/f.u. Its formation energy from the elements is 3 kJ/mol of atoms. Its crystal system is trigonal.


(2)
Here is Mn2AlPt8 after structural relaxation from Alexandria. Energies are from PBE-GGA.

Cell: 4.048 7.306 11.537 Å, 90.00 90.00 90.00°
Space group Immm (No. 71)
One atom of each set of equivalent atoms:
Mn  0.000  0.000  0.190 (multiplicity 4)
Al  0.000  0.000  0.500 (multiplicity 2)
Pt  0.000  0.190  0.000 (multiplicity 4)
Pt  0.000  0.274  0.339 (multiplicity 8)
Pt  0.000  0.500  0.140 (multiplicity 4)

Calculated values
Its density is 16.52 Mg/m³. As for the magnetization: 7.216 μB/f.u. Its formation energy from the elements is -34 kJ/mol of atoms. Its crystal system is orthorhombic.


- What is the magnetization in the first record?
  0.000 μB/f.u.